A plane-wave DFT calculation with PBE was carried out for crystalline LiCa2Zn2 at its relaxed geometry.

Cell lengths 5.7297, 5.7297, 5.7297 Å; angles 118.55, 118.55, 92.53 degrees
Element x y z (fractional)
Li 0.0000 0.0000 0.0000
Ca 0.2500 0.7500 0.5000
Ca 0.7500 0.2500 0.5000
Zn 0.3483 0.3483 0.0000
Zn 0.6517 0.6517 0.0000

Summary:
DFT formation energy	-0.27	eV/f.u.
space-group type	I4/mmm, No. 139
distance to the lowest polymorph of the same formula	132	meV per atom
VASP energy	-1.75	eV per atom

=====

A plane-wave DFT calculation with PBE was carried out for crystalline Ce2GaAg3 at its relaxed geometry.

Cell lengths 3.2643, 4.8317, 8.4315 Å; angles 90.00, 90.00, 90.00 degrees
Element x y z (fractional)
Ce 0.0000 0.0000 0.0000
Ce 0.0000 0.5000 0.4942
Ga 0.5000 0.0000 0.3297
Ag 0.5000 0.0000 0.6579
Ag 0.5000 0.5000 0.1684
Ag 0.5000 0.5000 0.8317

Summary:
DFT formation energy	-1.66	eV/f.u.
space-group type	Pmm2, No. 25
distance to the lowest polymorph of the same formula	0	meV per atom
VASP energy	-4.19	eV per atom

=====

A plane-wave DFT calculation with PBE was carried out for crystalline Pu2CrFeN5 at its relaxed geometry.

Cell lengths 6.7020, 6.7020, 9.4435 Å; angles 90.00, 90.00, 152.09 degrees
Element x y z (fractional)
Pu 0.1230 0.8770 0.5000
Pu 0.1362 0.8638 0.1318
Pu 0.8638 0.1362 0.6318
Pu 0.8770 0.1230 0.0000
Cr 0.4368 0.5632 0.2790
Cr 0.5632 0.4368 0.7790
Fe 0.2072 0.7928 0.8411
Fe 0.7928 0.2072 0.3411
N 0.0484 0.9516 0.8683
N 0.2938 0.7062 0.4749
N 0.3084 0.6916 0.1980
N 0.3557 0.6443 0.8244
N 0.4959 0.5041 0.1111
N 0.5041 0.4959 0.6111
N 0.6443 0.3557 0.3244
N 0.6916 0.3084 0.6980
N 0.7062 0.2938 0.9749
N 0.9516 0.0484 0.3683

Summary:
space-group type	Cmc2_1, No. 36
VASP energy	-10.51	eV per atom

=====

A plane-wave DFT calculation with PBE was carried out for crystalline SmErAl2 at its relaxed geometry.

Cell lengths 5.1303, 5.1303, 5.1303 Å; angles 60.00, 60.00, 60.00 degrees
Element x y z (fractional)
Sm 0.0000 0.0000 0.0000
Er 0.5000 0.5000 0.5000
Al 0.2500 0.2500 0.2500
Al 0.7500 0.7500 0.7500

Summary:
DFT formation energy	-1.51	eV/f.u.
space-group type	Fm-3m, No. 225
distance to the lowest polymorph of the same formula	9	meV per atom
VASP energy	-4.57	eV per atom